# 1
Lu2PbW, optimized geometry, DFT PBE; spin magnetization = 0.49 μB per atom; DFT total energy = -6.00 eV/atom
1.0
0.000 3.558 3.558
3.558 0.000 3.558
3.558 3.558 0.000
Lu Pb W
2 1 1
direct
0.000 0.000 0.000
0.250 0.250 0.250
0.500 0.500 0.500
0.750 0.750 0.750

=====

# 2
CsLiNbS3, optimized geometry, DFT PBE; spin magnetization = 0.00 μB per atom; DFT total energy = -5.31 eV/atom
1.0
1.850 -7.646 0.000
1.850 7.646 0.000
0.000 0.000 9.774
Cs Li Nb S
2 2 2 6
direct
0.239 0.761 0.750
0.761 0.239 0.250
0.045 0.955 0.250
0.955 0.045 0.750
0.500 0.500 0.000
0.500 0.500 0.500
0.111 0.889 0.039
0.111 0.889 0.461
0.457 0.543 0.250
0.543 0.457 0.750
0.889 0.111 0.539
0.889 0.111 0.961

=====

# 3
Tb2ErIrPd2Pb3, optimized geometry, DFT PBE; spin magnetization = 0.00 μB per atom; DFT total energy = -5.58 eV/atom
1.0
3.872 0.000 0.000
0.000 6.757 3.907
0.000 -6.757 3.907
Tb Er Ir Pd Pb
2 1 1 2 3
direct
0.000 0.198 0.802
0.000 0.802 0.198
0.000 0.407 0.407
0.000 0.800 0.800
0.500 0.137 0.468
0.500 0.468 0.137
0.500 0.067 0.067
0.500 0.536 0.802
0.500 0.802 0.536

=====

# 4
DyScAu4, optimized geometry, DFT PBE; spin magnetization = 0.00 μB per atom; DFT total energy = -4.83 eV/atom
1.0
3.642 0.000 0.000
0.000 3.642 0.000
0.000 0.000 8.926
Dy Sc Au
1 1 4
direct
0.000 0.000 0.000
0.500 0.500 0.500
0.000 0.000 0.342
0.000 0.000 0.658
0.500 0.500 0.172
0.500 0.500 0.828

=====

# 5
Nd4NiCl5, optimized geometry, DFT PBE; spin magnetization = 0.07 μB per atom; DFT total energy = -4.99 eV/atom
1.0
9.208 -1.993 0.000
9.208 1.993 0.000
-2.287 0.000 8.107
Nd Ni Cl
4 1 5
direct
0.002 0.002 0.276
0.345 0.345 0.395
0.655 0.655 0.605
0.998 0.998 0.724
0.500 0.500 0.500
0.165 0.165 0.851
0.173 0.173 0.363
0.500 0.500 0.000
0.827 0.827 0.637
0.835 0.835 0.149

=====

# 6
ZnCu2SnS4, optimized geometry, DFT PBE; energy above the most stable polymorph in this dataset = 0.0001 eV/atom
1.0
5.455 0.000 0.000
0.000 5.455 0.000
0.000 0.000 10.872
Zn Cu Sn S
2 4 2 8
direct
0.000 0.000 0.000
0.000 0.000 0.500
0.000 0.500 0.250
0.500 0.000 0.750
0.500 0.500 0.000
0.500 0.500 0.500
0.000 0.500 0.750
0.500 0.000 0.250
0.243 0.267 0.379
0.243 0.733 0.121
0.267 0.243 0.879
0.267 0.757 0.621
0.733 0.243 0.621
0.733 0.757 0.879
0.757 0.267 0.121
0.757 0.733 0.379

=====

# 7
YHfTeC, optimized geometry, DFT PBE; spin magnetization = 0.00 μB per atom; energy above the most stable polymorph in this dataset = 0.0000 eV/atom
1.0
3.636 0.000 0.000
-1.818 3.149 0.000
0.000 0.000 13.755
Y Hf Te C
2 2 2 2
direct
0.333 0.667 0.000
0.667 0.333 0.500
0.333 0.667 0.682
0.667 0.333 0.182
0.333 0.667 0.332
0.667 0.333 0.832
0.000 0.000 0.105
0.000 0.000 0.605

=====

# 8
HfTl2, optimized geometry, DFT PBE; spin magnetization = 0.00 μB per atom; DFT total energy = -4.45 eV/atom
1.0
0.000 3.457 3.457
3.457 0.000 3.457
3.457 3.457 0.000
Hf Tl
1 2
direct
0.000 0.000 0.000
0.250 0.250 0.250
0.750 0.750 0.750

=====

# 9
LaUCu, optimized geometry, DFT PBE; spin magnetization = 1.14 μB per atom; energy above the most stable polymorph in this dataset = 0.0000 eV/atom
1.0
0.000 3.415 3.415
3.415 0.000 3.415
3.415 3.415 0.000
La U Cu
1 1 1
direct
0.000 0.000 0.000
0.500 0.500 0.500
0.250 0.250 0.250

=====

# 10
SrHfHg, optimized geometry, DFT PBE; spin magnetization = 0.12 μB per atom; energy above the most stable polymorph in this dataset = 1.2592 eV/atom
1.0
0.000 3.644 3.644
3.644 0.000 3.644
3.644 3.644 0.000
Sr Hf Hg
1 1 1
direct
0.000 0.000 0.000
0.750 0.750 0.750
0.250 0.250 0.250

=====

# 11
Nd3GdY2NiTe2, optimized geometry, DFT PBE; spin magnetization = 0.00 μB per atom; DFT total energy = -5.60 eV/atom
1.0
4.022 0.000 0.000
0.000 7.383 4.254
0.000 -7.383 4.254
Nd Gd Y Ni Te
3 1 2 1 2
direct
0.000 0.000 0.000
0.000 0.189 0.594
0.000 0.594 0.189
0.500 0.359 0.359
0.500 0.594 0.830
0.500 0.830 0.594
0.000 0.594 0.594
0.500 0.261 0.926
0.500 0.926 0.261

=====

# 12
AlGePtAu, optimized geometry, DFT PBE; spin magnetization = 0.00 μB per atom; energy above the most stable polymorph in this dataset = 0.1499 eV/atom
1.0
0.000 3.247 3.247
3.247 0.000 3.247
3.247 3.247 0.000
Al Ge Pt Au
1 1 1 1
direct
0.000 0.000 0.000
0.250 0.250 0.250
0.750 0.750 0.750
0.500 0.500 0.500

=====

# 13
HfCuSiGe, optimized geometry, DFT PBE; spin magnetization = 0.00 μB per atom; energy above the most stable polymorph in this dataset = 0.0140 eV/atom
1.0
3.736 0.000 0.000
0.000 3.736 0.000
0.000 0.000 9.064
Hf Cu Si Ge
2 2 2 2
direct
0.250 0.250 0.230
0.750 0.750 0.770
0.250 0.750 0.500
0.750 0.250 0.500
0.250 0.750 0.000
0.750 0.250 0.000
0.250 0.250 0.682
0.750 0.750 0.318

=====

# 14
CsPrSiTe3, optimized geometry, DFT PBE; spin magnetization = 0.00 μB per atom; DFT total energy = -4.21 eV/atom
1.0
2.451 -8.155 0.000
2.451 8.155 0.000
0.000 0.000 12.374
Cs Pr Si Te
2 2 2 6
direct
0.246 0.754 0.750
0.754 0.246 0.250
0.500 0.500 0.000
0.500 0.500 0.500
0.033 0.967 0.250
0.967 0.033 0.750
0.123 0.877 0.061
0.123 0.877 0.439
0.448 0.552 0.250
0.552 0.448 0.750
0.877 0.123 0.561
0.877 0.123 0.939

=====

# 15
Pr5Sn4, optimized geometry, DFT PBE; spin magnetization = 0.03 μB per atom; energy above the most stable polymorph in this dataset = 0.0433 eV/atom
1.0
9.761 0.000 0.000
-4.881 8.454 0.000
0.000 0.000 6.713
Pr Sn
10 8
direct
0.000 0.271 0.250
0.000 0.729 0.750
0.271 0.000 0.250
0.271 0.271 0.750
0.333 0.667 0.000
0.333 0.667 0.500
0.667 0.333 0.000
0.667 0.333 0.500
0.729 0.000 0.750
0.729 0.729 0.250
0.000 0.000 0.000
0.000 0.000 0.500
0.000 0.382 0.750
0.000 0.618 0.250
0.382 0.000 0.750
0.382 0.382 0.250
0.618 0.000 0.250
0.618 0.618 0.750

=====

# 16
SnMo2S4, optimized geometry, DFT PBE; spin magnetization = 0.00 μB per atom; DFT total energy = -6.64 eV/atom
1.0
7.647 -1.640 0.000
7.647 1.640 0.000
-1.912 0.000 5.559
Sn Mo S
1 2 4
direct
0.000 0.000 0.000
0.254 0.254 0.310
0.746 0.746 0.690
0.132 0.132 0.483
0.337 0.337 0.998
0.663 0.663 0.002
0.868 0.868 0.517

=====

# 17
Cu2Ag3, optimized geometry, DFT PBE; energy above the most stable polymorph in this dataset = 0.0476 eV/atom
1.0
6.889 0.000 0.000
0.000 2.846 0.000
-1.915 0.000 7.954
Cu Ag
4 6
direct
0.141 0.250 0.466
0.242 0.750 0.730
0.758 0.250 0.270
0.859 0.750 0.534
0.047 0.750 0.172
0.339 0.250 0.033
0.454 0.750 0.348
0.546 0.250 0.652
0.661 0.750 0.967
0.953 0.250 0.828

=====

# 18
GdTa, optimized geometry, DFT PBE; spin magnetization = 0.42 μB per atom; energy above the most stable polymorph in this dataset = 2.2811 eV/atom
1.0
0.000 3.190 3.190
3.190 0.000 3.190
3.190 3.190 0.000
Gd Ta
1 1
direct
0.000 0.000 0.000
0.750 0.750 0.750

=====

# 19
YFeTcGe, optimized geometry, DFT PBE; spin magnetization = 0.48 μB per atom; energy above the most stable polymorph in this dataset = 0.0000 eV/atom
1.0
0.000 3.182 3.182
3.182 0.000 3.182
3.182 3.182 0.000
Y Fe Tc Ge
1 1 1 1
direct
0.000 0.000 0.000
0.750 0.750 0.750
0.250 0.250 0.250
0.500 0.500 0.500

=====

# 20
Tm2AuO4, optimized geometry, DFT PBE; spin magnetization = 0.14 μB per atom; DFT total energy = -6.90 eV/atom
1.0
0.000 4.721 4.721
4.721 0.000 4.721
4.721 4.721 0.000
Tm Au O
4 2 8
direct
0.000 0.000 0.000
0.000 0.000 0.500
0.000 0.500 0.000
0.500 0.000 0.000
0.375 0.375 0.375
0.625 0.625 0.625
0.205 0.765 0.765
0.235 0.235 0.235
0.235 0.235 0.795
0.235 0.795 0.235
0.765 0.205 0.765
0.765 0.765 0.205
0.765 0.765 0.765
0.795 0.235 0.235